Entry 1:
Density functional theory data (PBE) for CsAg2Br5 after structural relaxation.

Computed properties:
total energy	-19.485	eV per formula unit
crystal system	tetragonal
energy relative to the elements, uncorrected	-0.5706	eV/atom
space-group type	I4/mmm
density	4.4	g cm⁻³

Cell: 5.3034 5.3034 10.8111 Å, 104.20 104.20 90.00°
Sites, in units of the cell vectors:
Cs 0.5000 0.5000 0.0000
Ag 0.1384 0.1384 0.2768
Ag 0.8616 0.8616 0.7232
Br 0.1434 0.6434 0.2868
Br 0.6434 0.1434 0.2868
Br 0.3566 0.8566 0.7132
Br 0.8566 0.3566 0.7132
Br 0.0000 0.0000 0.0000


Entry 2:
Density functional theory data (PBE) for Cs2AgBr2 after structural relaxation.

Computed properties:
total energy	-12.513	eV per formula unit
crystal system	tetragonal
energy above the lowest structure with this stoichiometry	61	meV per atom
energy relative to the elements, uncorrected	-0.9218	eV/atom
space-group type	P4/mbm
density	4.0	g cm⁻³

Cell: 10.1994 10.1994 4.2316 Å, 90.00 90.00 90.00°
Sites, in units of the cell vectors:
Cs 0.8537 0.3537 0.0000
Cs 0.6463 0.8537 0.0000
Cs 0.1463 0.6463 0.0000
Cs 0.3537 0.1463 0.0000
Ag 0.0000 0.0000 0.0000
Ag 0.5000 0.5000 0.0000
Br 0.6513 0.1513 0.5000
Br 0.8487 0.6513 0.5000
Br 0.3487 0.8487 0.5000
Br 0.1513 0.3487 0.5000


Entry 3:
Density functional theory data (PBE) for CsAg7Br12 after structural relaxation.

Computed properties:
total energy	-49.113	eV per formula unit
crystal system	cubic
energy relative to the elements, uncorrected	-0.4113	eV/atom
space-group type	Im-3
density	5.3	g cm⁻³

Cell: 9.0810 9.0810 9.0810 Å, 109.47 109.47 109.47°
Sites, in units of the cell vectors:
Cs 0.0000 0.0000 0.0000
Ag 0.5000 0.0000 0.5000
Ag 0.5000 0.5000 0.0000
Ag 0.0000 0.5000 0.5000
Ag 0.0000 0.0000 0.5000
Ag 0.5000 0.0000 0.0000
Ag 0.5000 0.5000 0.5000
Ag 0.0000 0.5000 0.0000
Br 0.3173 0.1783 0.4957
Br 0.3173 0.8217 0.1390
Br 0.6827 0.8217 0.5043
Br 0.6827 0.1783 0.8610
Br 0.4957 0.3173 0.1783
Br 0.8610 0.6827 0.1783
Br 0.5043 0.6827 0.8217
Br 0.1390 0.3173 0.8217
Br 0.8217 0.1390 0.3173
Br 0.1783 0.8610 0.6827
Br 0.1783 0.4957 0.3173
Br 0.8217 0.5043 0.6827